Here is a relaxed structure of NpInFeRh from Alexandria via LeMat-Bulk. Energies are from PBE.

Cell lengths 4.6685, 4.6685, 4.6685 Å; angles 60.00, 60.00, 60.00 degrees
Site moments in Bohr magnetons follow the coordinates.
Positions (direct):
Np  0.2500  0.2500  0.2500  3.65
Rh  0.0000  0.0000  0.0000  -0.30
Fe  0.5000  0.5000  0.5000  -2.09
In  0.7500  0.7500  0.7500  0.03

Properties
Density of states at the Fermi level ... 1.452 states/eV/atom
ΔE_f ... -0.098 eV per atom